Crystalline MnOs5 at its relaxed geometry, computed with PBE.

Properties
Formation energy ... 131 meV per atom

Cell lengths 2.709, 2.709, 11.338 Å; angles 90.00, 90.00, 90.00 degrees
Element x y z (fractional)
Mn 0.000 0.000 0.000
Os 0.000 0.000 0.328
Os 0.000 0.000 0.672
Os 0.500 0.500 0.157
Os 0.500 0.500 0.500
Os 0.500 0.500 0.843